VASP calculation (GGA-PBE) on an optimized crystal structure of TmHf2Zn.

Geometry as POSCAR:
```
TmHf2Zn
1.0
-2.3671 -0.3952 -2.0143
0.4583 -1.5828 -2.6648
-3.3450 -9.8328 3.4232
Hf Zn Tm
2 1 1
direct
0.0978 0.0978 0.7066
0.9022 0.9022 0.2934
0.5000 0.5000 0.5000
0.0000 0.0000 0.0000
```

Output
Theoretical density = 10.71 Mg/m³
Excess energy over the best structure of this formula in the dataset = 1.178 eV/f.u.
Energy of formation = 0.2938 eV per atom



VASP calculation (GGA-PBE) on an optimized crystal structure of TmHf2Zn.

Geometry as POSCAR:
```
TmHf2Zn
1.0
3.2839 0.0013 0.0007
1.6430 2.8433 0.0007
1.6445 0.9494 9.6566
Hf Zn Tm
2 1 1
direct
0.0749 0.0749 0.7752
0.2589 0.2589 0.2239
0.6665 0.6665 0.0004
0.4998 0.4998 0.5004
```

Output
Theoretical density = 10.89 Mg/m³
Excess energy over the best structure of this formula in the dataset = 0.312 eV/f.u.
Energy of formation = 0.0771 eV per atom



VASP calculation (GGA-PBE) on an optimized crystal structure of Tm3HfZn2.

Geometry as POSCAR:
```
Tm3HfZn2
1.0
3.3935 0.0000 0.0000
0.0000 3.3935 0.0000
0.0000 0.0000 12.0536
Tm Hf Zn
3 1 2
direct
0.0000 0.0000 0.0000
0.0000 0.0000 0.3133
0.0000 0.0000 0.6867
0.5000 0.5000 0.5000
0.5000 0.5000 0.1523
0.5000 0.5000 0.8477
```

Output
Theoretical density = 9.76 Mg/m³
Energy of formation = -0.1869 eV per atom



VASP calculation (GGA-PBE) on an optimized crystal structure of TmHfZn.

Geometry as POSCAR:
```
TmHfZn
1.0
-1.9277 -0.0964 -2.6596
0.1174 -3.2839 0.0339
-4.0006 1.5515 4.8736
Tm Hf Zn
1 1 1
direct
0.0056 0.0056 0.0111
0.3193 0.3193 0.6387
0.6751 0.6751 0.3502
```

Output
Theoretical density = 10.47 Mg/m³
Excess energy over the best structure of this formula in the dataset = 0.000 eV/f.u.
Energy of formation = -0.1391 eV per atom



VASP calculation (GGA-PBE) on an optimized crystal structure of TmHf2Zn.

Geometry as POSCAR:
```
TmHf2Zn
1.0
-2.6107 1.9064 -0.0988
-0.8669 -1.0348 2.9390
4.3747 6.1704 3.4630
Zn Tm Hf
1 1 2
direct
0.5000 0.5000 0.0000
0.5000 0.5000 0.5000
0.0000 0.0000 0.7836
0.0000 0.0000 0.2164
```

Output
Theoretical density = 11.28 Mg/m³
Excess energy over the best structure of this formula in the dataset = 0.000 eV/f.u.
Energy of formation = -0.0009 eV per atom



VASP calculation (GGA-PBE) on an optimized crystal structure of TmHf4Zn5.

Geometry as POSCAR:
```
TmHf4Zn5
1.0
-2.4259 2.3008 -0.0849
-1.9550 -2.1236 -1.6895
-6.0695 -5.8681 14.3994
Zn Tm Hf
5 1 4
direct
0.5000 0.5000 0.1120
0.5000 0.5000 0.8880
0.5000 0.5000 0.5000
0.5000 0.5000 0.3052
0.5000 0.5000 0.6948
0.0000 0.0000 0.0000
0.0000 0.0000 0.7928
0.0000 0.0000 0.4025
0.0000 0.0000 0.2072
0.0000 0.0000 0.5975
```

Output
Theoretical density = 10.76 Mg/m³
Energy of formation = -0.2134 eV per atom



VASP calculation (GGA-PBE) on an optimized crystal structure of TmHfZn.

Geometry as POSCAR:
```
TmHfZn
1.0
-2.6590 1.3554 1.4598
-1.2259 -4.3190 1.7771
2.8842 2.9247 2.5380
Zn Tm Hf
1 1 1
direct
0.1644 0.3333 0.6667
0.6673 0.6667 0.3333
0.1682 0.0000 0.0000
```

Output
Theoretical density = 10.22 Mg/m³
Excess energy over the best structure of this formula in the dataset = 0.600 eV/f.u.
Energy of formation = 0.0608 eV per atom



VASP calculation (GGA-PBE) on an optimized crystal structure of Tm2HfZn6.

Geometry as POSCAR:
```
Tm2HfZn6
1.0
-0.3773 0.2273 3.2766
-7.5702 0.3208 -0.8941
3.4566 -6.7463 0.8661
Zn Hf Tm
6 1 2
direct
0.5000 0.6717 0.0000
0.5000 0.3283 0.0000
0.5000 0.0000 0.6717
0.5000 0.6717 0.6717
0.5000 0.0000 0.3283
0.5000 0.3283 0.3283
0.0000 0.0000 0.0000
0.0000 0.6667 0.3333
0.0000 0.3333 0.6667
```

Output
Theoretical density = 9.05 Mg/m³
Energy of formation = -0.3121 eV per atom



VASP calculation (GGA-PBE) on an optimized crystal structure of TmHfZn17.

Geometry as POSCAR:
```
TmHfZn17
1.0
-2.9475 0.9880 -5.9505
-2.7251 -6.1023 -0.6394
-6.1143 1.5370 2.3079
Zn Tm Hf
17 1 1
direct
0.1045 0.1045 0.1045
0.2997 0.0024 0.6966
0.9040 0.9040 0.9040
0.9914 0.5084 0.9914
0.8530 0.3497 0.3497
0.3497 0.8530 0.3497
0.2997 0.6966 0.0024
0.6382 0.1786 0.6382
0.9914 0.9914 0.5084
0.0024 0.2997 0.6966
0.5084 0.9914 0.9914
0.6966 0.0024 0.2997
0.0024 0.6966 0.2997
0.6966 0.2997 0.0024
0.3497 0.3497 0.8530
0.6382 0.6382 0.1786
0.1786 0.6382 0.6382
0.6647 0.6647 0.6647
0.3311 0.3311 0.3311
```

Output
Theoretical density = 8.20 Mg/m³
Energy of formation = -0.1407 eV per atom



VASP calculation (GGA-PBE) on an optimized crystal structure of Tm2HfZn4.

Geometry as POSCAR:
```
Tm2HfZn4
1.0
4.7091 0.0000 -1.5011
-0.4785 4.6847 -1.5011
-0.3543 -0.3923 7.0255
Tm Zn Hf
2 4 1
direct
0.7317 0.7317 0.4634
0.2683 0.2683 0.5366
0.3942 0.8942 0.7884
0.6058 0.1058 0.2116
0.8942 0.3942 0.7884
0.1058 0.6058 0.2116
0.0000 0.0000 0.0000
```

Output
Theoretical density = 8.64 Mg/m³
Energy of formation = -0.1089 eV per atom



VASP calculation (GGA-PBE) on an optimized crystal structure of Tm4HfZn5.

Geometry as POSCAR:
```
Tm4HfZn5
1.0
-1.4732 -3.0491 0.7716
3.0419 -1.5979 -0.5063
4.0013 2.3075 16.7576
Hf Zn Tm
1 5 4
direct
0.0000 0.0000 0.0000
0.5000 0.5000 0.7056
0.5000 0.5000 0.5000
0.5000 0.5000 0.9123
0.5000 0.5000 0.0877
0.5000 0.5000 0.2944
0.0000 0.0000 0.3970
0.0000 0.0000 0.6030
0.0000 0.0000 0.8074
0.0000 0.0000 0.1926
```

Output
Theoretical density = 9.35 Mg/m³
Energy of formation = -0.3031 eV per atom



VASP calculation (GGA-PBE) on an optimized crystal structure of TmHf2Zn6.

Geometry as POSCAR:
```
TmHf2Zn6
1.0
3.1890 0.0842 -0.1376
-0.3351 6.5852 -3.7359
0.3320 -0.0491 7.5704
Hf Zn Tm
2 6 1
direct
0.0001 0.6666 0.3333
0.9999 0.3334 0.6667
0.5000 0.3373 0.0000
0.5000 0.6627 0.0000
0.5004 0.0000 0.3373
0.4996 0.6627 0.6627
0.5004 0.3373 0.3373
0.4996 0.0000 0.6627
0.0000 0.0000 0.0000
```

Output
Theoretical density = 9.60 Mg/m³
Energy of formation = -0.2589 eV per atom